A geometry-optimized SmZr2Cd6 structure, computed with PBE.

Calculated volume in Å³/cell: 614.23
Energy of formation in meV per atom: -148
Total magnetic moment in μB per formula unit: 0.0
Mass density in g/cm3: 8.169
DOS at the Fermi energy in states/eV/cell: 18.26

```
data_SmZr2Cd6
_chemical_formula_sum 'Sm3 Zr6 Cd18'
_cell_length_a 8.6018
_cell_length_b 8.6018
_cell_length_c 9.5860
_cell_angle_alpha 90.00
_cell_angle_beta 90.00
_cell_angle_gamma 120.00
_space_group_name_H-M_alt 'R -3 m'
_space_group_IT_number 166
_space_group_name_Hall '-R 3 2"'
loop_
_atom_site_label
_atom_site_fract_x
_atom_site_fract_y
_atom_site_fract_z
Sm1 0.0000 0.0000 0.0000
Zr1 0.0000 0.0000 0.3480
Cd1 0.0000 0.3326 0.5000
```

=====

A geometry-optimized SmZrCd structure, computed with PBE.

Energy relative to the lowest polymorph listed for this composition in eV/atom: 0.162
Calculated volume in Å³/cell: 79.04
Energy of formation in meV per atom: 75
Total magnetic moment in μB per formula unit: 0.0
Mass density in g/cm3: 7.437
DOS at the Fermi energy in states/eV/cell: 2.28

```
data_SmZrCd
_chemical_formula_sum 'Sm1 Zr1 Cd1'
_cell_length_a 5.1600
_cell_length_b 5.1600
_cell_length_c 3.4279
_cell_angle_alpha 90.00
_cell_angle_beta 90.00
_cell_angle_gamma 120.00
_space_group_name_H-M_alt 'P -6 m 2'
_space_group_IT_number 187
_space_group_name_Hall 'P -6 2'
loop_
_atom_site_label
_atom_site_fract_x
_atom_site_fract_y
_atom_site_fract_z
Sm1 0.0000 0.0000 0.0000
Zr1 0.3333 0.6667 0.5000
Cd1 0.6667 0.3333 0.5000
```

=====

A geometry-optimized SmZrCd structure, computed with PBE.

Energy relative to the lowest polymorph listed for this composition in eV/atom: 0.000
Calculated volume in Å³/cell: 155.24
Energy of formation in meV per atom: -88
Total magnetic moment in μB per formula unit: 0.0
Mass density in g/cm3: 7.573
DOS at the Fermi energy in states/eV/cell: 3.55

```
data_SmZrCd
_chemical_formula_sum 'Sm2 Zr2 Cd2'
_cell_length_a 3.434
_cell_length_b 3.434
_cell_length_c 13.168
_cell_angle_alpha 90.00
_cell_angle_beta 90.00
_cell_angle_gamma 90.00
_space_group_name_H-M_alt 'I 4 m m'
_space_group_IT_number 107
_space_group_name_Hall 'I 4 -2'
loop_
_atom_site_label
_atom_site_fract_x
_atom_site_fract_y
_atom_site_fract_z
Sm1 0.000 0.000 0.000
Zr1 0.000 0.000 0.325
Cd1 0.000 0.000 0.679
```

=====

A geometry-optimized SmZrCd4 structure, computed with PBE.

Energy relative to the lowest polymorph listed for this composition in eV/atom: 0.059
Calculated volume in Å³/cell: 561.15
Energy of formation in meV per atom: -125
Total magnetic moment in μB per formula unit: 2.0
Mass density in g/cm3: 8.182
DOS at the Fermi energy in states/eV/cell: 24.20

```
data_SmZrCd4
_chemical_formula_sum 'Sm4 Zr4 Cd16'
_cell_length_a 8.248
_cell_length_b 8.248
_cell_length_c 8.248
_cell_angle_alpha 90.00
_cell_angle_beta 90.00
_cell_angle_gamma 90.00
_space_group_name_H-M_alt 'F -4 3 m'
_space_group_IT_number 216
_space_group_name_Hall 'F -4 2 3'
loop_
_atom_site_label
_atom_site_fract_x
_atom_site_fract_y
_atom_site_fract_z
Sm1 0.000 0.000 0.000
Zr1 0.250 0.250 0.750
Cd1 0.125 0.125 0.375
```

=====

A geometry-optimized SmZrCd structure, computed with PBE.

Energy relative to the lowest polymorph listed for this composition in eV/atom: 0.409
Calculated volume in Å³/cell: 524.92
Energy of formation in meV per atom: 321
Total magnetic moment in μB per formula unit: 0.8
Mass density in g/cm3: 6.719
DOS at the Fermi energy in states/eV/cell: 22.05

```
data_SmZrCd
_chemical_formula_sum 'Sm6 Zr6 Cd6'
_cell_length_a 5.0236
_cell_length_b 5.0236
_cell_length_c 24.0180
_cell_angle_alpha 90.00
_cell_angle_beta 90.00
_cell_angle_gamma 120.00
_space_group_name_H-M_alt 'R -3 m'
_space_group_IT_number 166
_space_group_name_Hall '-R 3 2"'
loop_
_atom_site_label
_atom_site_fract_x
_atom_site_fract_y
_atom_site_fract_z
Sm1 0.0000 0.0000 0.1212
Zr1 0.0000 0.0000 0.3008
Cd1 0.0000 0.0000 0.0000
Cd2 0.0000 0.0000 0.5000
```

=====

A geometry-optimized Sm2ZrCd6 structure, computed with PBE.

Calculated volume in Å³/cell: 214.40
Energy of formation in meV per atom: -232
Total magnetic moment in μB per formula unit: 0.0
Mass density in g/cm3: 8.259
DOS at the Fermi energy in states/eV/cell: 6.31

```
data_Sm2ZrCd6
_chemical_formula_sum 'Sm2 Zr1 Cd6'
_cell_length_a 8.6732
_cell_length_b 8.6732
_cell_length_c 3.2911
_cell_angle_alpha 90.00
_cell_angle_beta 90.00
_cell_angle_gamma 120.00
_space_group_name_H-M_alt 'P 6/m m m'
_space_group_IT_number 191
_space_group_name_Hall '-P 6 2'
loop_
_atom_site_label
_atom_site_fract_x
_atom_site_fract_y
_atom_site_fract_z
Sm1 0.3333 0.6667 0.0000
Zr1 0.0000 0.0000 0.0000
Cd1 0.0000 0.3269 0.5000
```

=====

A geometry-optimized Cd13Sn2 structure, computed with PBE.

Energy relative to the lowest polymorph listed for this composition in eV/atom: 0.000
Calculated volume in Å³/cell: 352.91
Energy of formation in meV per atom: 22
Total magnetic moment in μB per formula unit: 0.0
Mass density in g/cm3: 7.993
DOS at the Fermi energy in states/eV/cell: 4.22

```
data_Cd13Sn2
_chemical_formula_sum 'Cd13 Sn2'
_cell_length_a 5.725
_cell_length_b 7.267
_cell_length_c 8.861
_cell_angle_alpha 74.36
_cell_angle_beta 83.87
_cell_angle_gamma 89.28
_space_group_name_H-M_alt 'P -1'
_space_group_IT_number 2
_space_group_name_Hall '-P 1'
loop_
_atom_site_label
_atom_site_fract_x
_atom_site_fract_y
_atom_site_fract_z
Cd1 0.000 0.000 0.000
Cd2 0.136 0.270 0.196
Cd3 0.197 0.405 0.806
Cd4 0.290 0.539 0.392
Cd5 0.333 0.667 0.003
Cd6 0.403 0.799 0.607
Cd7 0.471 0.938 0.193
Sn1 0.065 0.143 0.599
```

=====

A geometry-optimized Cd5Sn3 structure, computed with PBE.

Calculated volume in Å³/cell: 199.57
Energy of formation in meV per atom: 50
Total magnetic moment in μB per formula unit: 0.0
Mass density in g/cm3: 7.640
DOS at the Fermi energy in states/eV/cell: 3.11

```
data_Cd5Sn3
_chemical_formula_sum 'Cd5 Sn3'
_cell_length_a 4.494
_cell_length_b 6.732
_cell_length_c 6.596
_cell_angle_alpha 90.00
_cell_angle_beta 90.00
_cell_angle_gamma 90.00
_space_group_name_H-M_alt 'P m m 2'
_space_group_IT_number 25
_space_group_name_Hall 'P 2 -2'
loop_
_atom_site_label
_atom_site_fract_x
_atom_site_fract_y
_atom_site_fract_z
Cd1 0.000 0.000 0.000
Cd2 0.000 0.000 0.476
Cd3 0.000 0.500 0.996
Cd4 0.500 0.244 0.232
Sn1 0.000 0.500 0.480
Sn2 0.500 0.246 0.739
```

=====

A geometry-optimized CdSn4 structure, computed with PBE.

Energy relative to the lowest polymorph listed for this composition in eV/atom: 0.472
Calculated volume in Å³/cell: 167.14
Energy of formation in meV per atom: 524
Total magnetic moment in μB per formula unit: 0.0
Mass density in g/cm3: 5.834
DOS at the Fermi energy in states/eV/cell: 2.43

```
data_CdSn4
_chemical_formula_sum 'Cd1 Sn4'
_cell_length_a 5.508
_cell_length_b 5.508
_cell_length_c 5.508
_cell_angle_alpha 90.00
_cell_angle_beta 90.00
_cell_angle_gamma 90.00
_space_group_name_H-M_alt 'P m -3 m'
_space_group_IT_number 221
_space_group_name_Hall '-P 4 2 3'
loop_
_atom_site_label
_atom_site_fract_x
_atom_site_fract_y
_atom_site_fract_z
Cd1 0.000 0.000 0.000
Sn1 0.000 0.000 0.500
Sn2 0.500 0.500 0.500
```

=====

A geometry-optimized CdSn4 structure, computed with PBE.

Energy relative to the lowest polymorph listed for this composition in eV/atom: 0.030
Calculated volume in Å³/cell: 281.10
Energy of formation in meV per atom: 82
Total magnetic moment in μB per formula unit: 0.0
Mass density in g/cm3: 6.938
DOS at the Fermi energy in states/eV/cell: 5.29

```
data_CdSn4
_chemical_formula_sum 'Cd2 Sn8'
_cell_length_a 4.121
_cell_length_b 6.624
_cell_length_c 10.298
_cell_angle_alpha 90.00
_cell_angle_beta 90.14
_cell_angle_gamma 90.00
_space_group_name_H-M_alt 'P 1 21/c 1'
_space_group_IT_number 14
_space_group_name_Hall '-P 2ybc'
loop_
_atom_site_label
_atom_site_fract_x
_atom_site_fract_y
_atom_site_fract_z
Cd1 0.000 0.000 0.000
Sn1 0.000 0.146 0.311
Sn2 0.499 0.186 0.600
```